The following is a PBE-GGA calculation of a geometry-optimized KHg3H structure, from the Alexandria database.

Summary:
The value obtained for the uncorrected energy is -11.5 eV for the cell shown. The distance to the lowest polymorph of the same formula comes out at 42 kJ/mol of formula units. For the calculated density, the calculation gives 8.36 g cm⁻³. The density of states at the Fermi level is 0.268 states/eV/atom.

Unit cell a=5.099 b=6.768 c=8.050 alpha=82.11 beta=89.88 gamma=68.19
Space group P-1 (No. 2)
Unique sites:
K (0.104, 0.296, 0.259) [2 per cell]
Hg (0.192, 0.118, 0.783) [2 per cell]
Hg (0.382, 0.729, 0.429) [2 per cell]
Hg (0.391, 0.716, 0.057) [2 per cell]
H (0.301, 0.895, 0.613) [2 per cell]

***

The following is a PBE-GGA calculation of a geometry-optimized KHg3H structure, from the Alexandria database.

Summary:
The value obtained for the uncorrected energy is -11.6 eV for the cell shown. The distance to the lowest polymorph of the same formula comes out at 38 kJ/mol of formula units. For the calculated density, the calculation gives 7.99 g cm⁻³. The density of states at the Fermi level is 0.169 states/eV/atom.

Unit cell a=5.529 b=5.904 c=9.683 alpha=89.11 beta=73.78 gamma=62.44
Space group P-1 (No. 2)
Unique sites:
K (0.063, 0.080, 0.293) [2 per cell]
Hg (0.175, 0.288, 0.876) [2 per cell]
Hg (0.340, 0.267, 0.552) [2 per cell]
Hg (0.432, 0.719, 0.910) [2 per cell]
H (0.000, 0.500, 0.500) [1 per cell]
H (0.500, 0.500, 0.500) [1 per cell]

***

The following is a PBE-GGA calculation of a geometry-optimized KHgH6 structure, from the Alexandria database.

Summary:
The value obtained for the uncorrected energy is -21.1 eV for the cell shown. For the calculated density, the calculation gives 3.45 g cm⁻³. The density of states at the Fermi level is 0.042 states/eV/atom.

Unit cell a=3.926 b=5.564 c=6.033 alpha=106.34 beta=90.25 gamma=109.93
Space group P1 (No. 1)
Unique sites:
K (0.000, 0.000, 0.000) [1 per cell]
Hg (0.575, 0.149, 0.556) [1 per cell]
H (0.036, 0.540, 0.194) [1 per cell]
H (0.069, 0.130, 0.602) [1 per cell]
H (0.228, 0.627, 0.182) [1 per cell]
H (0.269, 0.571, 0.726) [1 per cell]
H (0.346, 0.705, 0.701) [1 per cell]
H (0.601, 0.210, 0.254) [1 per cell]

***

The following is a PBE-GGA calculation of a geometry-optimized KHgH2 structure, from the Alexandria database.

Summary:
The value obtained for the uncorrected energy is -15.0 eV for the cell shown. The distance to the lowest polymorph of the same formula comes out at 27 kJ/mol of formula units. For the calculated density, the calculation gives 4.94 g cm⁻³. The density of states at the Fermi level is 0.115 states/eV/atom.

Unit cell a=4.898 b=4.988 c=7.082 alpha=90.00 beta=110.16 gamma=90.00
Space group P2_1/m (No. 11)
Unique sites:
K (0.153, 0.250, 0.304) [2 per cell]
Hg (0.417, 0.250, 0.836) [2 per cell]
H (0.339, 0.549, 0.681) [4 per cell]

***

The following is a PBE-GGA calculation of a geometry-optimized K2Hg3H8 structure, from the Alexandria database.

Summary:
The value obtained for the uncorrected energy is -58.1 eV for the cell shown. For the calculated density, the calculation gives 4.99 g cm⁻³. The density of states at the Fermi level is 0.000 states/eV/atom.

Unit cell a=11.813 b=8.228 c=5.173 alpha=90.00 beta=114.49 gamma=90.00
Space group C2/m (No. 12)
Unique sites:
K (0.214, 0.000, 0.244) [4 per cell]
Hg (0.000, 0.195, 0.500) [4 per cell]
Hg (0.000, 0.500, 0.000) [2 per cell]
H (0.020, 0.000, 0.763) [4 per cell]
H (0.151, 0.236, 0.575) [8 per cell]
H (0.155, 0.500, 0.120) [4 per cell]

***

The following is a PBE-GGA calculation of a geometry-optimized K8Hg6H structure, from the Alexandria database.

Summary:
The value obtained for the uncorrected energy is -49.3 eV for the cell shown. For the calculated density, the calculation gives 4.24 g cm⁻³. The density of states at the Fermi level is 0.570 states/eV/atom.

Unit cell a=10.3470 b=10.3470 c=19.2420 alpha=90.00 beta=90.00 gamma=120.00
Space group R-3 (No. 148, hexagonal axes)
Unique sites:
K (0.0000, 0.0000, 0.1093) [6 per cell]
K (0.0074, 0.7792, 0.5887) [18 per cell]
Hg (0.0542, 0.6000, 0.4355) [18 per cell]
H (0.0000, 0.0000, 0.5000) [3 per cell]

***

The following is a PBE-GGA calculation of a geometry-optimized K2HgH2 structure, from the Alexandria database.

Summary:
The value obtained for the uncorrected energy is -19.2 eV for the cell shown. The distance to the lowest polymorph of the same formula comes out at 0 kJ/mol of formula units. For the calculated density, the calculation gives 4.18 g cm⁻³. The density of states at the Fermi level is 0.012 states/eV/atom.

Unit cell a=7.919 b=7.919 c=3.558 alpha=90.00 beta=90.00 gamma=90.00
Space group P4/mbm (No. 127)
Unique sites:
K (0.151, 0.349, 0.000) [4 per cell]
Hg (0.000, 0.000, 0.500) [2 per cell]
H (0.148, 0.648, 0.500) [4 per cell]

***

The following is a PBE-GGA calculation of a geometry-optimized K2Hg3H4 structure, from the Alexandria database.

Summary:
The value obtained for the uncorrected energy is -66.6 eV for the cell shown. For the calculated density, the calculation gives 5.78 g cm⁻³. The density of states at the Fermi level is 0.038 states/eV/atom.

Unit cell a=13.057 b=9.702 c=6.210 alpha=90.00 beta=90.60 gamma=90.00
Space group C2/c (No. 15)
Unique sites:
K (0.147, 0.164, 0.251) [8 per cell]
Hg (0.000, 0.189, 0.750) [4 per cell]
Hg (0.138, 0.499, 0.993) [8 per cell]
H (0.000, 0.296, 0.502) [8 per cell]
H (0.125, 0.113, 0.754) [8 per cell]

***

The following is a PBE-GGA calculation of a geometry-optimized KHg3H structure, from the Alexandria database.

Summary:
The value obtained for the uncorrected energy is -5.5 eV for the cell shown. The distance to the lowest polymorph of the same formula comes out at 61 kJ/mol of formula units. For the calculated density, the calculation gives 8.46 g cm⁻³. The density of states at the Fermi level is 0.189 states/eV/atom.

Unit cell a=3.472 b=5.607 c=6.484 alpha=87.03 beta=88.61 gamma=89.89
Space group P1 (No. 1)
Unique sites:
K (0.000, 0.000, 0.000) [1 per cell]
Hg (0.465, 0.477, 0.223) [1 per cell]
Hg (0.516, 0.524, 0.734) [1 per cell]
Hg (0.524, 0.041, 0.519) [1 per cell]
H (0.495, 0.827, 0.282) [1 per cell]

***

The following is a PBE-GGA calculation of a geometry-optimized KHg6H3 structure, from the Alexandria database.

Summary:
The value obtained for the uncorrected energy is -23.3 eV for the cell shown. For the calculated density, the calculation gives 8.86 g cm⁻³. The density of states at the Fermi level is 0.179 states/eV/atom.

Unit cell a=7.961 b=6.266 c=10.585 alpha=90.00 beta=117.85 gamma=90.00
Space group P2_1/c (No. 14)
Unique sites:
K (0.000, 0.000, 0.000) [2 per cell]
Hg (0.051, 0.011, 0.376) [4 per cell]
Hg (0.379, 0.615, 0.199) [4 per cell]
Hg (0.419, 0.209, 0.983) [4 per cell]
H (0.026, 0.739, 0.766) [4 per cell]
H (0.500, 0.000, 0.500) [2 per cell]

***

The following is a PBE-GGA calculation of a geometry-optimized KHg2H3 structure, from the Alexandria database.

Summary:
The value obtained for the uncorrected energy is -45.5 eV for the cell shown. For the calculated density, the calculation gives 6.07 g cm⁻³. The density of states at the Fermi level is 0.010 states/eV/atom.

Unit cell a=10.156 b=5.822 c=8.985 alpha=90.00 beta=114.06 gamma=90.00
Space group C2/c (No. 15)
Unique sites:
K (0.000, 0.099, 0.250) [4 per cell]
Hg (0.209, 0.398, 0.871) [8 per cell]
H (0.000, 0.412, 0.750) [4 per cell]
H (0.226, 0.159, 0.691) [8 per cell]